# Sr3CoRuO7 PBE+U optimized geometry
# - space group = No. 107
# - calculated volume (Å³/atom) = 13.220
# - DFT total energy (eV per atom) = -6.423
data_Sr3CoRuO7
_chemical_formula_sum 'Sr3 Co1 Ru1 O7'
_symmetry_space_group_name_H-M 'P 1'
_symmetry_Int_Tables_number 1
_symmetry_space_group_name_Hall 'P 1'
_cell_length_a 10.6171
_cell_length_b 10.6171
_cell_length_c 10.6171
_cell_angle_alpha 158.64
_cell_angle_beta 158.64
_cell_angle_gamma 30.38
loop_
_atom_site_label
_atom_site_type_symbol
_atom_site_fract_x
_atom_site_fract_y
_atom_site_fract_z
_atom_site_occupancy
Sr1 Sr 0.4896 0.4896 0.0000 1
O1 O 0.9045 0.4045 0.5000 1
Sr2 Sr 0.6871 0.6871 0.0000 1
Co1 Co 0.8991 0.8991 0.0000 1
O2 O 0.1942 0.1942 0.0000 1
O3 O 0.8045 0.8045 0.0000 1
Sr3 Sr 0.3194 0.3194 0.0000 1
O4 O 0.5995 0.0995 0.5000 1
O5 O 0.4045 0.9045 0.5000 1
Ru1 Ru 0.0960 0.0960 0.0000 1
O6 O 0.0020 0.0020 0.0000 1
O7 O 0.0995 0.5995 0.5000 1